Density functional theory data (PBE) for a relaxed AlCrIN2 crystal.

Calculated values
The crystal system is tetragonal. The calculation puts the energy relative to the elements, uncorrected at 0.798 eV per atom. Its density of states at the Fermi level is 2.71 states/eV/cell. The calculation puts the polymorph energy (0 for the lowest one) at 0 meV/atom. As for the space group: P4/mmm, No. 123. The total DFT energy (no corrections) is -5.51 eV/atom.

Geometry as CIF:
```
data_AlCrIN2
_cell_length_a 3.834
_cell_length_b 3.834
_cell_length_c 5.440
_cell_angle_alpha 90.00
_cell_angle_beta 90.00
_cell_angle_gamma 90.00
_space_group_name_H-M_alt 'P 1'
_space_group_IT_number 1
loop_
_space_group_symop_operation_xyz
'x,y,z'
loop_
_atom_site_label
_atom_site_type_symbol
_atom_site_fract_x
_atom_site_fract_y
_atom_site_fract_z
_atom_site_occupancy
Al1 Al 0.000 0.000 0.000 1
Cr1 Cr 0.500 0.500 0.500 1
I1 I 0.500 0.500 0.000 1
N1 N 0.000 0.500 0.500 1
N2 N 0.500 0.000 0.500 1
```